1.
Density functional theory data (PBE-GGA) for NiAsPd2 after structural relaxation.

Structure (CIF):
```
data_NiAsPd2
_space_group_name_H-M_alt 'P 1'
_space_group_IT_number 1
_space_group_name_Hall 'P 1'
_cell_length_a 3.8836
_cell_length_b 3.8836
_cell_length_c 3.8193
_cell_angle_alpha 90.00
_cell_angle_beta 90.00
_cell_angle_gamma 90.00
loop_
_atom_site_label
_atom_site_fract_x
_atom_site_fract_y
_atom_site_fract_z
Ni1 0.0000 0.0000 0.0000
As1 0.5000 0.5000 0.0000
Pd1 0.0000 0.5000 0.5000
Pd2 0.5000 0.0000 0.5000
```

ΔH_f (0 K)	-114	meV/atom

=====

2.
Density functional theory data (PBE-GGA) for Ni7As2Pd2 after structural relaxation.

Structure (CIF):
```
data_Ni7As2Pd2
_space_group_name_H-M_alt 'P 1'
_space_group_IT_number 1
_space_group_name_Hall 'P 1'
_cell_length_a 4.5389
_cell_length_b 4.8420
_cell_length_c 6.6426
_cell_angle_alpha 78.02
_cell_angle_beta 74.86
_cell_angle_gamma 85.71
loop_
_atom_site_label
_atom_site_fract_x
_atom_site_fract_y
_atom_site_fract_z
Ni1 0.0000 0.0000 0.0000
Ni2 0.1426 0.8274 0.6177
Ni3 0.2971 0.3316 0.5200
Ni4 0.3055 0.4634 0.8921
Ni5 0.6945 0.5366 0.1079
Ni6 0.7029 0.6684 0.4800
Ni7 0.8574 0.1726 0.3823
As1 0.1518 0.5959 0.2231
As2 0.8482 0.4041 0.7769
Pd1 0.4283 0.0304 0.2164
Pd2 0.5717 0.9696 0.7836
```

ΔH_f (0 K)	-111	meV/atom

=====

3.
Density functional theory data (PBE-GGA) for NiAs4Pd after structural relaxation.

Structure (CIF):
```
data_NiAs4Pd
_space_group_name_H-M_alt 'P 1'
_space_group_IT_number 1
_space_group_name_Hall 'P 1'
_cell_length_a 5.9467
_cell_length_b 5.9414
_cell_length_c 5.9421
_cell_angle_alpha 90.00
_cell_angle_beta 90.15
_cell_angle_gamma 90.00
loop_
_atom_site_label
_atom_site_fract_x
_atom_site_fract_y
_atom_site_fract_z
Ni1 0.0000 0.0000 0.0000
Ni2 0.0000 0.5000 0.5000
As1 0.1110 0.1261 0.6257
As2 0.1110 0.3739 0.1257
As3 0.3695 0.6134 0.6136
As4 0.3695 0.8866 0.1136
As5 0.6305 0.1134 0.8864
As6 0.6305 0.3866 0.3864
As7 0.8890 0.6261 0.8743
As8 0.8890 0.8739 0.3743
Pd1 0.5000 0.0000 0.5000
Pd2 0.5000 0.5000 0.0000
```

ΔH_f (0 K)	-281	meV/atom

=====

4.
Density functional theory data (PBE-GGA) for Ni2AsPd2 after structural relaxation.

Structure (CIF):
```
data_Ni2AsPd2
_space_group_name_H-M_alt 'P 1'
_space_group_IT_number 1
_space_group_name_Hall 'P 1'
_cell_length_a 6.5474
_cell_length_b 6.5474
_cell_length_c 3.4683
_cell_angle_alpha 90.00
_cell_angle_beta 90.00
_cell_angle_gamma 90.00
loop_
_atom_site_label
_atom_site_fract_x
_atom_site_fract_y
_atom_site_fract_z
Ni1 0.1426 0.3574 0.0000
Ni2 0.3574 0.8574 0.0000
Ni3 0.6426 0.1426 0.0000
Ni4 0.8574 0.6426 0.0000
As1 0.0000 0.0000 0.5000
As2 0.5000 0.5000 0.5000
Pd1 0.1512 0.6512 0.5000
Pd2 0.3488 0.1512 0.5000
Pd3 0.6512 0.8488 0.5000
Pd4 0.8488 0.3488 0.5000
```

ΔH_f (0 K)	147	meV/atom
distance to the lowest polymorph of the same formula	214	meV per atom

=====

5.
Density functional theory data (PBE-GGA) for Ni12As7Pd2 after structural relaxation.

Structure (CIF):
```
data_Ni12As7Pd2
_space_group_name_H-M_alt 'P 1'
_space_group_IT_number 1
_space_group_name_Hall 'P 1'
_cell_length_a 9.5210
_cell_length_b 9.5210
_cell_length_c 3.5653
_cell_angle_alpha 90.00
_cell_angle_beta 90.00
_cell_angle_gamma 120.00
loop_
_atom_site_label
_atom_site_fract_x
_atom_site_fract_y
_atom_site_fract_z
Ni1 0.0443 0.2763 0.0000
Ni2 0.1087 0.7127 0.5000
Ni3 0.2320 0.9557 0.0000
Ni4 0.2873 0.3960 0.5000
Ni5 0.3900 0.1774 0.5000
Ni6 0.5377 0.4289 0.0000
Ni7 0.5711 0.1087 0.0000
Ni8 0.6040 0.8913 0.5000
Ni9 0.7237 0.7680 0.0000
Ni10 0.7874 0.6100 0.5000
Ni11 0.8226 0.2126 0.5000
Ni12 0.8913 0.4623 0.0000
As1 0.0810 0.4603 0.5000
As2 0.2480 0.2118 0.0000
As3 0.3793 0.9190 0.5000
As4 0.5397 0.6207 0.5000
As5 0.6667 0.3333 0.5000
As6 0.7882 0.0363 0.0000
As7 0.9637 0.7520 0.0000
Pd1 0.0000 0.0000 0.5000
Pd2 0.3333 0.6667 0.0000
```

ΔH_f (0 K)	-239	meV/atom

=====

6.
Density functional theory data (PBE-GGA) for Ni2AsPd after structural relaxation.

Structure (CIF):
```
data_Ni2AsPd
_space_group_name_H-M_alt 'P 1'
_space_group_IT_number 1
_space_group_name_Hall 'P 1'
_cell_length_a 3.6147
_cell_length_b 6.7225
_cell_length_c 4.7390
_cell_angle_alpha 90.00
_cell_angle_beta 112.32
_cell_angle_gamma 90.00
loop_
_atom_site_label
_atom_site_fract_x
_atom_site_fract_y
_atom_site_fract_z
Ni1 0.1400 0.0526 0.2794
Ni2 0.1400 0.4474 0.2794
Ni3 0.8600 0.5526 0.7206
Ni4 0.8600 0.9474 0.7206
As1 0.2703 0.7500 0.5408
As2 0.7297 0.2500 0.4592
Pd1 0.4433 0.2500 0.8879
Pd2 0.5567 0.7500 0.1121
```

ΔH_f (0 K)	-259	meV/atom

=====

7.
Density functional theory data (PBE-GGA) for NiAs2Pd3 after structural relaxation.

Structure (CIF):
```
data_NiAs2Pd3
_space_group_name_H-M_alt 'P 1'
_space_group_IT_number 1
_space_group_name_Hall 'P 1'
_cell_length_a 7.4197
_cell_length_b 7.4197
_cell_length_c 7.4197
_cell_angle_alpha 137.15
_cell_angle_beta 62.17
_cell_angle_gamma 137.19
loop_
_atom_site_label
_atom_site_fract_x
_atom_site_fract_y
_atom_site_fract_z
Ni1 0.2500 0.2500 0.0000
Ni2 0.7500 0.7500 0.0000
As1 0.1255 0.2242 0.3497
As2 0.3745 0.7242 0.0987
As3 0.6255 0.2758 0.9013
As4 0.8745 0.7758 0.6503
Pd1 0.1824 0.7568 0.9392
Pd2 0.2500 0.7500 0.5000
Pd3 0.3176 0.2568 0.5744
Pd4 0.6824 0.7432 0.4256
Pd5 0.7500 0.2500 0.5000
Pd6 0.8176 0.2432 0.0608
```

ΔH_f (0 K)	-303	meV/atom

=====

8.
Density functional theory data (PBE-GGA) for NiAsPd2 after structural relaxation.

Structure (CIF):
```
data_NiAsPd2
_space_group_name_H-M_alt 'P 1'
_space_group_IT_number 1
_space_group_name_Hall 'P 1'
_cell_length_a 5.5637
_cell_length_b 5.5637
_cell_length_c 10.9640
_cell_angle_alpha 90.00
_cell_angle_beta 90.00
_cell_angle_gamma 90.00
loop_
_atom_site_label
_atom_site_fract_x
_atom_site_fract_y
_atom_site_fract_z
Ni1 0.0000 0.0000 0.0000
Ni2 0.0000 0.5000 0.2500
Ni3 0.5000 0.0000 0.7500
Ni4 0.5000 0.5000 0.5000
As1 0.0000 0.0000 0.5000
As2 0.0000 0.5000 0.7500
As3 0.5000 0.0000 0.2500
As4 0.5000 0.5000 0.0000
Pd1 0.2480 0.2500 0.6250
Pd2 0.2500 0.7480 0.8750
Pd3 0.2500 0.7520 0.3750
Pd4 0.2520 0.2500 0.1250
Pd5 0.7480 0.7500 0.1250
Pd6 0.7500 0.2480 0.3750
Pd7 0.7500 0.2520 0.8750
Pd8 0.7520 0.7500 0.6250
```

ΔH_f (0 K)	457	meV/atom

=====

9.
Density functional theory data (PBE-GGA) for Ni2AsPd after structural relaxation.

Structure (CIF):
```
data_Ni2AsPd
_space_group_name_H-M_alt 'P 1'
_space_group_IT_number 1
_space_group_name_Hall 'P 1'
_cell_length_a 3.8025
_cell_length_b 3.8025
_cell_length_c 3.6065
_cell_angle_alpha 90.00
_cell_angle_beta 90.00
_cell_angle_gamma 90.00
loop_
_atom_site_label
_atom_site_fract_x
_atom_site_fract_y
_atom_site_fract_z
Ni1 0.0000 0.5000 0.0000
Ni2 0.5000 0.0000 0.0000
As1 0.0000 0.0000 0.5000
Pd1 0.5000 0.5000 0.5000
```

ΔH_f (0 K)	-106	meV/atom

=====

10.
Density functional theory data (PBE-GGA) for Ni3AsPd after structural relaxation.

Structure (CIF):
```
data_Ni3AsPd
_space_group_name_H-M_alt 'P 1'
_space_group_IT_number 1
_space_group_name_Hall 'P 1'
_cell_length_a 4.2993
_cell_length_b 4.2993
_cell_length_c 4.2993
_cell_angle_alpha 90.00
_cell_angle_beta 90.00
_cell_angle_gamma 90.00
loop_
_atom_site_label
_atom_site_fract_x
_atom_site_fract_y
_atom_site_fract_z
Ni1 0.0000 0.0000 0.5000
Ni2 0.0000 0.5000 0.0000
Ni3 0.5000 0.0000 0.0000
As1 0.0000 0.0000 0.0000
Pd1 0.5000 0.5000 0.5000
```

ΔH_f (0 K)	484	meV/atom
distance to the lowest polymorph of the same formula	0	meV per atom

=====

11.
Density functional theory data (PBE-GGA) for NiAs2Pd2 after structural relaxation.

Structure (CIF):
```
data_NiAs2Pd2
_space_group_name_H-M_alt 'P 1'
_space_group_IT_number 1
_space_group_name_Hall 'P 1'
_cell_length_a 6.0583
_cell_length_b 6.0583
_cell_length_c 4.3707
_cell_angle_alpha 90.00
_cell_angle_beta 90.00
_cell_angle_gamma 90.00
loop_
_atom_site_label
_atom_site_fract_x
_atom_site_fract_y
_atom_site_fract_z
Ni1 0.0000 0.0000 0.0000
Ni2 0.5000 0.5000 0.0000
As1 0.1404 0.3596 0.0000
As2 0.3596 0.8596 0.0000
As3 0.6404 0.1404 0.0000
As4 0.8596 0.6404 0.0000
Pd1 0.2235 0.7235 0.5000
Pd2 0.2765 0.2235 0.5000
Pd3 0.7235 0.7765 0.5000
Pd4 0.7765 0.2765 0.5000
```

ΔH_f (0 K)	-174	meV/atom
distance to the lowest polymorph of the same formula	0	meV per atom

=====

12.
Density functional theory data (PBE-GGA) for Ni2As3Pd4 after structural relaxation.

Structure (CIF):
```
data_Ni2As3Pd4
_space_group_name_H-M_alt 'P 1'
_space_group_IT_number 1
_space_group_name_Hall 'P 1'
_cell_length_a 3.7993
_cell_length_b 6.2950
_cell_length_c 6.2950
_cell_angle_alpha 117.39
_cell_angle_beta 90.00
_cell_angle_gamma 90.00
loop_
_atom_site_label
_atom_site_fract_x
_atom_site_fract_y
_atom_site_fract_z
Ni1 0.0000 0.1264 0.8736
Ni2 0.0000 0.8736 0.1264
As1 0.0000 0.1868 0.5298
As2 0.0000 0.5298 0.1868
As3 0.5000 0.8881 0.8881
Pd1 0.0000 0.6187 0.6187
Pd2 0.5000 0.2726 0.2726
Pd3 0.5000 0.4645 0.8763
Pd4 0.5000 0.8763 0.4645
```

ΔH_f (0 K)	-329	meV/atom

=====

13.
Density functional theory data (PBE-GGA) for PmNiAs2Pd2 after structural relaxation.

Structure (CIF):
```
data_PmNiAs2Pd2
_space_group_name_H-M_alt 'P 1'
_space_group_IT_number 1
_space_group_name_Hall 'P 1'
_cell_length_a 3.9661
_cell_length_b 3.9661
_cell_length_c 18.0775
_cell_angle_alpha 90.00
_cell_angle_beta 90.00
_cell_angle_gamma 90.00
loop_
_atom_site_label
_atom_site_fract_x
_atom_site_fract_y
_atom_site_fract_z
Pm1 0.0000 0.0000 0.0000
Pm2 0.5000 0.5000 0.5000
Ni1 0.0000 0.0000 0.5000
Ni2 0.5000 0.5000 0.0000
As1 0.0000 0.0000 0.1650
As2 0.0000 0.0000 0.8350
As3 0.5000 0.5000 0.3350
As4 0.5000 0.5000 0.6650
Pd1 0.0000 0.5000 0.2500
Pd2 0.0000 0.5000 0.7500
Pd3 0.5000 0.0000 0.2500
Pd4 0.5000 0.0000 0.7500
```

ΔH_f (0 K)	10	meV/atom

=====

14.
Density functional theory data (PBE-GGA) for Pm2NiAs4Pd3 after structural relaxation.

Structure (CIF):
```
data_Pm2NiAs4Pd3
_space_group_name_H-M_alt 'P 1'
_space_group_IT_number 1
_space_group_name_Hall 'P 1'
_cell_length_a 4.3289
_cell_length_b 4.3289
_cell_length_c 10.1161
_cell_angle_alpha 90.00
_cell_angle_beta 90.00
_cell_angle_gamma 90.00
loop_
_atom_site_label
_atom_site_fract_x
_atom_site_fract_y
_atom_site_fract_z
Pm1 0.0000 0.5000 0.2433
Pm2 0.5000 0.0000 0.7567
Ni1 0.5000 0.5000 0.0000
As1 0.0000 0.0000 0.5000
As2 0.0000 0.5000 0.8749
As3 0.5000 0.0000 0.1251
As4 0.5000 0.5000 0.5000
Pd1 0.0000 0.0000 0.0000
Pd2 0.0000 0.5000 0.6314
Pd3 0.5000 0.0000 0.3686
```

ΔH_f (0 K)	-816	meV/atom

=====

15.
Density functional theory data (PBE-GGA) for PrNiAs2Pd2 after structural relaxation.

Structure (CIF):
```
data_PrNiAs2Pd2
_space_group_name_H-M_alt 'P 1'
_space_group_IT_number 1
_space_group_name_Hall 'P 1'
_cell_length_a 4.1762
_cell_length_b 4.1762
_cell_length_c 14.2883
_cell_angle_alpha 90.00
_cell_angle_beta 90.00
_cell_angle_gamma 90.00
loop_
_atom_site_label
_atom_site_fract_x
_atom_site_fract_y
_atom_site_fract_z
Pr1 0.0000 0.0000 0.0000
Pr2 0.5000 0.5000 0.5000
Ni1 0.0000 0.0000 0.5000
Ni2 0.5000 0.5000 0.0000
As1 0.0000 0.0000 0.3477
As2 0.0000 0.0000 0.6523
As3 0.5000 0.5000 0.1523
As4 0.5000 0.5000 0.8477
Pd1 0.0000 0.5000 0.2500
Pd2 0.0000 0.5000 0.7500
Pd3 0.5000 0.0000 0.2500
Pd4 0.5000 0.0000 0.7500
```

ΔH_f (0 K)	-468	meV/atom

=====

16.
Density functional theory data (PBE-GGA) for Pr2NiAs4Pd3 after structural relaxation.

Structure (CIF):
```
data_Pr2NiAs4Pd3
_space_group_name_H-M_alt 'P 1'
_space_group_IT_number 1
_space_group_name_Hall 'P 1'
_cell_length_a 4.3993
_cell_length_b 4.3993
_cell_length_c 9.9488
_cell_angle_alpha 90.00
_cell_angle_beta 90.00
_cell_angle_gamma 90.00
loop_
_atom_site_label
_atom_site_fract_x
_atom_site_fract_y
_atom_site_fract_z
Pr1 0.0000 0.5000 0.2456
Pr2 0.5000 0.0000 0.7544
Ni1 0.5000 0.5000 0.0000
As1 0.0000 0.0000 0.5000
As2 0.0000 0.5000 0.8762
As3 0.5000 0.0000 0.1238
As4 0.5000 0.5000 0.5000
Pd1 0.0000 0.0000 0.0000
Pd2 0.0000 0.5000 0.6259
Pd3 0.5000 0.0000 0.3741
```

ΔH_f (0 K)	-834	meV/atom

=====

17.
Density functional theory data (PBE-GGA) for PrNiAs2Pd after structural relaxation.

Structure (CIF):
```
data_PrNiAs2Pd
_space_group_name_H-M_alt 'P 1'
_space_group_IT_number 1
_space_group_name_Hall 'P 1'
_cell_length_a 4.2433
_cell_length_b 4.2433
_cell_length_c 10.2944
_cell_angle_alpha 90.00
_cell_angle_beta 90.00
_cell_angle_gamma 90.00
loop_
_atom_site_label
_atom_site_fract_x
_atom_site_fract_y
_atom_site_fract_z
Pr1 0.0000 0.0000 0.0000
Pr2 0.5000 0.5000 0.5000
Ni1 0.0000 0.5000 0.7500
Ni2 0.5000 0.0000 0.2500
As1 0.0000 0.0000 0.3736
As2 0.0000 0.0000 0.6264
As3 0.5000 0.5000 0.1264
As4 0.5000 0.5000 0.8736
Pd1 0.0000 0.5000 0.2500
Pd2 0.5000 0.0000 0.7500
```

ΔH_f (0 K)	-788	meV/atom

=====

18.
Density functional theory data (PBE-GGA) for Ni2AsPdPt after structural relaxation.

Structure (CIF):
```
data_Ni2AsPdPt
_space_group_name_H-M_alt 'P 1'
_space_group_IT_number 1
_space_group_name_Hall 'P 1'
_cell_length_a 4.4691
_cell_length_b 4.4691
_cell_length_c 4.9631
_cell_angle_alpha 90.00
_cell_angle_beta 90.00
_cell_angle_gamma 90.00
loop_
_atom_site_label
_atom_site_fract_x
_atom_site_fract_y
_atom_site_fract_z
Ni1 0.0000 0.5000 0.0000
Ni2 0.5000 0.0000 0.0000
As1 0.0000 0.0000 0.5000
Pd1 0.5000 0.5000 0.0000
Pt1 0.5000 0.5000 0.5000
```

ΔH_f (0 K)	1231	meV/atom

=====

19.
Density functional theory data (PBE-GGA) for PuNiAs2Pd after structural relaxation.

Structure (CIF):
```
data_PuNiAs2Pd
_space_group_name_H-M_alt 'P 1'
_space_group_IT_number 1
_space_group_name_Hall 'P 1'
_cell_length_a 6.6678
_cell_length_b 6.6678
_cell_length_c 5.5636
_cell_angle_alpha 90.00
_cell_angle_beta 90.00
_cell_angle_gamma 131.86
loop_
_atom_site_label
_atom_site_fract_x
_atom_site_fract_y
_atom_site_fract_z
Pu1 0.2500 0.7500 0.7833
Pu2 0.7500 0.2500 0.2167
Ni1 0.2500 0.2500 0.5000
Ni2 0.7500 0.7500 0.5000
As1 0.1370 0.8630 0.3115
As2 0.3630 0.6370 0.3115
As3 0.6370 0.3630 0.6885
As4 0.8630 0.1370 0.6885
Pd1 0.0000 0.0000 0.0000
Pd2 0.5000 0.5000 0.0000
```

ΔH_f (0 K)	-440	meV/atom

=====

20.
Density functional theory data (PBE-GGA) for RbNiAsPd after structural relaxation.

Structure (CIF):
```
data_RbNiAsPd
_space_group_name_H-M_alt 'P 1'
_space_group_IT_number 1
_space_group_name_Hall 'P 1'
_cell_length_a 3.8902
_cell_length_b 3.8902
_cell_length_c 12.7540
_cell_angle_alpha 90.00
_cell_angle_beta 90.00
_cell_angle_gamma 90.00
loop_
_atom_site_label
_atom_site_fract_x
_atom_site_fract_y
_atom_site_fract_z
Rb1 0.2500 0.2500 0.2222
Rb2 0.7500 0.7500 0.7778
Ni1 0.2500 0.7500 0.5000
Ni2 0.7500 0.2500 0.5000
As1 0.2500 0.2500 0.5994
As2 0.7500 0.7500 0.4006
Pd1 0.2500 0.7500 0.0000
Pd2 0.7500 0.2500 0.0000
```

ΔH_f (0 K)	-135	meV/atom

=====

| no. | total magnetic moment (μB per formula unit) |
| --- | --- |
| 1 | 0.0 |
| 2 | 0.0 |
| 3 | 0.0 |
| 4 | 0.8 |
| 5 | 0.0 |
| 6 | 0.0 |
| 7 | 0.0 |
| 8 | 0.7 |
| 9 | 0.0 |
| 10 | 1.1 |
| 11 | 0.0 |
| 12 | 0.0 |
| 13 | 0.0 |
| 14 | 0.0 |
| 15 | 0.0 |
| 16 | 0.0 |
| 17 | 0.0 |
| 18 | 2.4 |
| 19 | 5.4 |
| 20 | 0.0 |